VASP calculation (GGA+U) on a relaxed structure of CoTeI2O.

The structure in POSCAR format:
```
CoTeI2O
1.0
5.222 0.000 0.000
0.000 5.222 0.000
0.000 0.000 4.588
Co Te I O
1 1 2 1
direct
0.000 0.000 0.000
0.500 0.500 0.000
0.000 0.500 0.500
0.500 0.000 0.500
0.500 0.500 0.500
```

Properties
space group: No. 123
total moment: 2.5 μB/f.u.
ΔE to the lowest computed polymorph: 656 meV/atom